No. 1
## CaZrAg (GGA-PBEsol)

Data for a relaxed structure of CaZrAg.

abc: 4.719 4.719 4.719
angles: 60.00 60.00 60.00
Fractional coordinates of all 3 atoms:
Ca 0.000 0.000 0.000
Zr 0.750 0.750 0.750
Ag 0.250 0.250 0.250

Properties
- Crystal system: cubic
- M_tot: 0.000 μB per atom
- Calculated formation energy: 310 kJ/mol of formula units

=====

No. 2
## AlHgOs2 (GGA-PBEsol)

Data for a relaxed structure of AlHgOs2.

abc: 4.838 4.838 4.838
angles: 132.05 132.05 70.16
Fractional coordinates of all 4 atoms:
Al 0.000 0.000 0.000
Hg 0.500 0.500 0.000
Os 0.250 0.750 0.500
Os 0.750 0.250 0.500

Properties
- E above lowest polymorph: 0.1954 eV/atom
- Crystal system: tetragonal
- M_tot: 0.000 μB per atom
- Calculated formation energy: 226 kJ/mol of formula units

=====

No. 3
## ZnP2OsS (GGA-PBEsol)

Data for a relaxed structure of ZnP2OsS.

abc: 4.346 4.346 4.431
angles: 90.00 90.00 90.00
Fractional coordinates of all 5 atoms:
Zn 0.000 0.000 0.000
P 0.000 0.500 0.000
P 0.500 0.000 0.000
Os 0.500 0.500 0.500
S 0.000 0.000 0.500

Properties
- Crystal system: tetragonal
- M_tot: 0.000 μB per atom
- Formation energy without anion corrections: 1.56 eV per atom

=====

No. 4
## Li4Co3OF11 (GGA-PBEsol)

Data for a relaxed structure of Li4Co3OF11.

abc: 5.527 5.785 6.145
angles: 101.11 101.40 97.48
Fractional coordinates of all 19 atoms:
Li 0.000 0.000 0.000
Li 0.204 0.293 0.594
Li 0.476 0.827 0.774
Li 0.732 0.324 0.850
Co 0.303 0.517 0.109
Co 0.568 0.041 0.310
Co 0.862 0.667 0.441
O 0.558 0.712 0.314
F 0.069 0.284 0.866
F 0.181 0.639 0.574
F 0.271 0.839 0.045
F 0.304 0.263 0.258
F 0.473 0.086 0.603
F 0.489 0.506 0.881
F 0.687 0.082 0.039
F 0.776 0.364 0.476
F 0.807 0.777 0.723
F 0.947 0.979 0.413
F 0.949 0.559 0.172

Properties
- Crystal system: triclinic
- M_tot: 0.318 μB per atom
- Formation energy without anion corrections: -2.18 eV per atom

=====

Which electronic total energy belongs to each record? In order, -11.32 -26.75 -21.95 -98.86 eV/cell.